(1)
# PdPbAu PBE optimized geometry
# **Calculated total energy**: -25.09 eV per cell
# **E_form**: -122 meV per atom
# **DOS at the Fermi energy**: 0.408 states/eV per atom
data_PdPbAu
_chemical_formula_sum 'Pd2 Pb2 Au2'
_cell_length_a 3.877
_cell_length_b 5.884
_cell_length_c 6.556
_cell_angle_alpha 63.58
_cell_angle_beta 73.01
_cell_angle_gamma 89.96
_symmetry_space_group_name_H-M 'P 1'
_symmetry_Int_Tables_number 1
loop_
_symmetry_equiv_pos_as_xyz
'x,y,z'
loop_
_atom_site_label
_atom_site_fract_x
_atom_site_fract_y
_atom_site_fract_z
Pd1 0.000 0.000 0.000
Pd2 0.367 0.127 0.270
Pb1 0.333 0.611 0.331
Pb2 0.678 0.942 0.652
Au1 0.623 0.385 0.750
Au2 0.992 0.505 0.015

(2)
# Hf5Zr12Sc PBE optimized geometry
# **Calculated total energy**: -315.66 eV per cell
# **E_form**: 47 meV per atom
# **DOS at the Fermi energy**: 1.342 states/eV per atom
data_Hf5Zr12Sc
_chemical_formula_sum 'Hf10 Zr24 Sc2'
_cell_length_a 5.551
_cell_length_b 9.621
_cell_length_c 15.685
_cell_angle_alpha 90.00
_cell_angle_beta 96.79
_cell_angle_gamma 90.00
_symmetry_space_group_name_H-M 'C 1 2/m 1'
_symmetry_Int_Tables_number 12
loop_
_symmetry_equiv_pos_as_xyz
'x,y,z'
'-x,-y,-z'
'-x,y,-z'
'x,-y,z'
'x+1/2,y+1/2,z'
'-x+1/2,-y+1/2,-z'
'-x+1/2,y+1/2,-z'
'x+1/2,-y+1/2,z'
loop_
_atom_site_label
_atom_site_fract_x
_atom_site_fract_y
_atom_site_fract_z
Hf1 0.000 0.000 0.000
Hf2 0.000 0.167 0.500
Hf3 0.000 0.336 0.000
Zr1 0.111 0.167 0.837
Zr2 0.111 0.500 0.834
Zr3 0.213 0.000 0.666
Zr4 0.225 0.329 0.666
Sc1 0.000 0.500 0.500

(3)
# MgAlCdCu PBE optimized geometry
# **Calculated total energy**: -40.77 eV per cell
# **E_form**: 39 meV per atom
# **DOS at the Fermi energy**: 0.289 states/eV per atom
data_MgAlCdCu
_chemical_formula_sum 'Mg4 Al4 Cd4 Cu4'
_cell_length_a 6.523
_cell_length_b 6.523
_cell_length_c 6.523
_cell_angle_alpha 90.00
_cell_angle_beta 90.00
_cell_angle_gamma 90.00
_symmetry_space_group_name_H-M 'F -4 3 m'
_symmetry_Int_Tables_number 216
_symmetry_space_group_name_Hall 'F -4 2 3'
loop_
_atom_site_label
_atom_site_fract_x
_atom_site_fract_y
_atom_site_fract_z
Mg1 0.000 0.000 0.000
Al1 0.000 0.000 0.500
Cd1 0.250 0.250 0.250
Cu1 0.250 0.250 0.750